<i>
## HoTcPO (PBE)

Data for crystalline HoTcPO at its relaxed geometry.

Geometry as extended XYZ:
```
8
Lattice="3.909 0.000 0.000 0.000 3.909 0.000 0.000 0.000 8.227" Properties=species:S:1:pos:R:3 pbc="T T T"
Ho 0.977 0.977 1.083
Ho 2.932 2.932 7.145
Tc 0.977 2.932 4.114
Tc 2.932 0.977 4.114
P 0.977 0.977 5.491
P 2.932 2.932 2.736
O 0.977 2.932 0.000
O 2.932 0.977 0.000
```



<ii>
## HoTcPO (PBE)

Data for crystalline HoTcPO at its relaxed geometry.

Geometry as extended XYZ:
```
8
Lattice="4.051 0.000 0.000 0.000 6.001 0.000 0.000 0.000 5.512" Properties=species:S:1:pos:R:3 pbc="T T T"
Ho 0.000 1.017 0.000
Ho 0.000 4.984 2.756
Tc 2.026 2.769 4.181
Tc 2.026 3.232 1.425
P 0.000 1.930 2.846
P 0.000 4.071 0.090
O 2.026 1.458 0.343
O 2.026 4.543 3.099
```



Stability check: which of them is least stable? <ii>.



<i>
## Ho2Pa2O5 (PBE)

Data for crystalline Ho2Pa2O5 at its relaxed geometry.

Geometry as extended XYZ:
```
9
Lattice="4.216 0.000 0.000 0.000 4.216 0.000 0.000 0.000 9.010" Properties=species:S:1:pos:R:3 pbc="T T T"
Ho 0.000 0.000 0.000
Ho 0.000 0.000 4.505
Pa 2.108 2.108 2.230
Pa 2.108 2.108 6.781
O 0.000 2.108 1.532
O 0.000 2.108 7.479
O 2.108 0.000 1.532
O 2.108 0.000 7.479
O 2.108 2.108 0.000
```



<ii>
## Ho2Pa2O5 (PBE)

Data for crystalline Ho2Pa2O5 at its relaxed geometry.

Geometry as extended XYZ:
```
9
Lattice="4.339 0.000 0.000 0.000 4.339 0.000 0.000 0.000 7.706" Properties=species:S:1:pos:R:3 pbc="T T T"
Ho 0.000 0.000 1.749
Ho 0.000 0.000 5.957
Pa 2.169 2.169 0.000
Pa 2.169 2.169 3.853
O 0.000 0.000 3.853
O 0.000 2.169 1.896
O 0.000 2.169 5.809
O 2.169 0.000 1.896
O 2.169 0.000 5.809
```



Stability check: which of them is least stable? <ii>.



<i>
## Ho3PdO6 (PBE)

Data for crystalline Ho3PdO6 at its relaxed geometry.

Geometry as extended XYZ:
```
20
Lattice="4.415 -5.434 0.000 4.415 5.434 0.000 0.000 0.000 5.473" Properties=species:S:1:pos:R:3 pbc="T T T"
Ho 4.415 4.329 2.736
Ho 2.596 1.260 3.042
Ho 2.596 -1.260 0.306
Ho 6.234 1.260 3.042
Ho 6.234 -1.260 0.306
Ho 4.415 -4.329 0.000
Pd 4.415 1.510 0.321
Pd 4.415 -1.510 3.057
O 3.092 2.785 1.450
O 1.411 0.181 1.530
O 1.411 -0.181 4.266
O 4.415 2.430 4.033
O 5.738 2.785 1.450
O 4.415 0.231 1.963
O 4.415 -0.231 4.700
O 3.092 -2.785 4.186
O 4.415 -2.430 1.296
O 7.419 0.181 1.530
O 7.419 -0.181 4.266
O 5.738 -2.785 4.186
```



<ii>
## Ho3PdO6 (PBE)

Data for crystalline Ho3PdO6 at its relaxed geometry.

Geometry as extended XYZ:
```
20
Lattice="4.710 2.720 3.614 -4.710 2.720 3.614 0.000 -5.439 3.614" Properties=species:S:1:pos:R:3 pbc="T T T"
Ho -2.396 -2.359 5.004
Ho -3.241 0.896 5.839
Ho 0.845 -3.255 5.839
Ho -0.845 3.255 5.004
Ho 3.241 -0.896 5.004
Ho 2.396 2.359 5.839
Pd 0.000 0.000 0.000
Pd 0.000 0.000 5.421
O -4.126 -1.233 5.956
O -0.995 -4.190 4.887
O -2.016 -0.222 4.378
O -3.131 2.957 4.887
O -0.816 -1.857 6.464
O 1.200 -1.635 4.378
O -1.200 1.635 6.464
O 0.816 1.857 4.378
O 3.131 -2.957 5.956
O 2.016 0.222 6.464
O 0.995 4.190 5.956
O 4.126 1.233 4.887
```



Stability check: which of them is least stable? <i>.



<i>
## HoPd2O4 (PBE)

Data for crystalline HoPd2O4 at its relaxed geometry.

Geometry as extended XYZ:
```
14
Lattice="4.045 -4.999 0.000 4.045 4.999 0.000 -4.039 0.000 4.058" Properties=species:S:1:pos:R:3 pbc="T T T"
Ho 1.016 3.749 3.043
Ho 3.035 -3.749 1.014
Pd 2.022 2.500 0.000
Pd 0.003 -2.500 2.029
Pd 4.045 0.000 0.000
Pd 2.025 0.000 2.029
O -1.645 0.714 3.164
O 1.138 1.785 1.660
O 0.374 -0.714 1.135
O 4.932 1.785 0.369
O -0.881 -1.785 3.688
O 3.677 0.714 2.922
O 2.912 -1.785 2.398
O 5.696 -0.714 0.893
```



<ii>
## HoPd2O4 (PBE)

Data for crystalline HoPd2O4 at its relaxed geometry.

Geometry as extended XYZ:
```
14
Lattice="0.000 4.559 4.559 4.559 0.000 4.559 4.559 4.559 0.000" Properties=species:S:1:pos:R:3 pbc="T T T"
Ho 1.140 1.140 1.140
Ho 7.977 7.977 7.977
Pd 4.559 2.279 2.279
Pd 2.279 4.559 2.279
Pd 2.279 2.279 4.559
Pd 4.559 4.559 4.559
O 2.379 2.379 2.379
O 4.459 4.459 2.379
O 4.459 2.379 4.459
O 6.738 4.658 4.658
O 2.379 4.459 4.459
O 4.658 6.738 4.658
O 4.658 4.658 6.738
O 6.738 6.738 6.738
```



Stability check: which of them is least stable? <ii>.



<i>
## Ho2PdO4 (PBE)

Data for crystalline Ho2PdO4 at its relaxed geometry.

Geometry as extended XYZ:
```
28
Lattice="7.820 0.000 0.000 0.000 7.820 0.000 0.000 0.000 6.172" Properties=species:S:1:pos:R:3 pbc="T T T"
Ho 0.545 4.454 1.543
Ho 0.545 7.275 4.629
Ho 3.365 4.454 4.629
Ho 3.365 7.275 1.543
Ho 4.454 0.545 4.629
Ho 4.454 3.365 1.543
Ho 7.275 0.545 1.543
Ho 7.275 3.365 4.629
Pd 1.955 1.955 0.375
Pd 1.955 1.955 3.461
Pd 5.865 5.865 2.711
Pd 5.865 5.865 5.798
O 0.023 5.309 5.680
O 0.023 6.421 2.594
O 1.399 3.933 3.578
O 1.399 7.797 0.492
O 2.511 3.933 0.492
O 2.511 7.797 3.578
O 3.887 5.309 2.594
O 3.887 6.421 5.680
O 3.933 1.399 0.492
O 3.933 2.511 3.578
O 5.309 0.023 2.594
O 5.309 3.887 5.680
O 6.421 0.023 5.680
O 6.421 3.887 2.594
O 7.797 1.399 3.578
O 7.797 2.511 0.492
```



<ii>
## Ho2PdO4 (PBE)

Data for crystalline Ho2PdO4 at its relaxed geometry.

Geometry as extended XYZ:
```
14
Lattice="6.657 -1.781 0.000 6.657 1.781 0.000 -5.404 0.000 8.208" Properties=species:S:1:pos:R:3 pbc="T T T"
Ho -0.888 0.000 3.716
Ho 3.317 0.000 1.627
Ho 4.592 0.000 6.581
Ho 8.797 0.000 4.493
Pd 0.713 0.000 7.050
Pd 7.196 0.000 1.158
O -2.395 0.000 5.359
O 1.426 0.000 3.161
O -1.071 0.000 7.821
O 2.333 0.000 5.985
O 5.576 0.000 2.223
O 8.981 0.000 0.387
O 6.484 0.000 5.048
O 10.304 0.000 2.850
```



Stability check: which of them is least stable? <ii>.



<i>
## Pr2Ho2O5 (PBE)

Data for crystalline Pr2Ho2O5 at its relaxed geometry.

Geometry as extended XYZ:
```
9
Lattice="3.876 0.000 0.000 0.000 3.876 0.000 0.000 0.000 10.415" Properties=species:S:1:pos:R:3 pbc="T T T"
Pr 0.000 0.000 2.479
Pr 0.000 0.000 7.936
Ho 1.938 1.938 0.000
Ho 1.938 1.938 5.207
O 0.000 0.000 5.207
O 0.000 1.938 1.360
O 0.000 1.938 9.055
O 1.938 0.000 1.360
O 1.938 0.000 9.055
```



<ii>
## Pr2Ho2O5 (PBE)

Data for crystalline Pr2Ho2O5 at its relaxed geometry.

Geometry as extended XYZ:
```
9
Lattice="4.317 0.000 0.000 0.000 4.317 0.000 0.000 0.000 7.729" Properties=species:S:1:pos:R:3 pbc="T T T"
Pr 0.000 0.000 0.000
Pr 0.000 0.000 3.865
Ho 2.158 2.158 1.778
Ho 2.158 2.158 5.951
O 0.000 2.158 1.897
O 0.000 2.158 5.833
O 2.158 0.000 1.897
O 2.158 0.000 5.833
O 2.158 2.158 3.865
```



Stability check: which of them is least stable? <i>.



<i>
## Sr2HoReO6 (PBE)

Data for crystalline Sr2HoReO6 at its relaxed geometry.

Geometry as extended XYZ:
```
10
Lattice="0.000 4.116 4.116 4.116 0.000 4.116 4.116 4.116 0.000" Properties=species:S:1:pos:R:3 pbc="T T T"
Sr 2.058 2.058 2.058
Sr 6.174 6.174 6.174
Ho 0.000 0.000 0.000
Re 4.116 4.116 4.116
O 4.116 4.116 2.168
O 4.116 2.168 4.116
O 6.063 4.116 4.116
O 2.168 4.116 4.116
O 4.116 6.063 4.116
O 4.116 4.116 6.063
```



<ii>
## Sr2HoReO6 (PBE)

Data for crystalline Sr2HoReO6 at its relaxed geometry.

Geometry as extended XYZ:
```
10
Lattice="5.746 0.000 0.000 2.873 5.018 0.000 2.821 1.662 4.778" Properties=species:S:1:pos:R:3 pbc="T T T"
Sr 2.854 1.696 1.253
Sr 8.586 4.984 3.525
Ho 0.000 0.000 0.000
Re 5.720 3.340 2.389
O 4.104 2.733 3.352
O 5.517 5.109 3.247
O 4.595 3.958 0.888
O 6.845 2.722 3.890
O 5.923 1.571 1.530
O 7.336 3.947 1.426
```



Stability check: which of them is least stable? <i>.



<i>
## Ho2Sc2O5 (PBE)

Data for crystalline Ho2Sc2O5 at its relaxed geometry.

Geometry as extended XYZ:
```
9
Lattice="4.021 0.000 0.000 0.000 4.021 0.000 0.000 0.000 7.263" Properties=species:S:1:pos:R:3 pbc="T T T"
Ho 0.000 0.000 0.000
Ho 0.000 0.000 3.632
Sc 2.011 2.011 1.648
Sc 2.011 2.011 5.615
O 0.000 2.011 1.679
O 0.000 2.011 5.584
O 2.011 0.000 1.679
O 2.011 0.000 5.584
O 2.011 2.011 3.632
```



<ii>
## Ho2Sc2O5 (PBE)

Data for crystalline Ho2Sc2O5 at its relaxed geometry.

Geometry as extended XYZ:
```
9
Lattice="3.763 0.000 0.000 0.000 3.763 0.000 0.000 0.000 9.299" Properties=species:S:1:pos:R:3 pbc="T T T"
Ho 0.000 0.000 2.243
Ho 0.000 0.000 7.055
Sc 1.881 1.881 0.000
Sc 1.881 1.881 4.649
O 0.000 0.000 4.649
O 0.000 1.881 1.273
O 0.000 1.881 8.025
O 1.881 0.000 1.273
O 1.881 0.000 8.025
```



Stability check: which of them is least stable? <ii>.